[1]
The following is a DFT calculation (PBE) of Tb3PuRh8 after structural relaxation.

The formation energy is -0.668 eV/atom. Its density of states at the Fermi level is 53.55 states/eV/cell. Its total energy is -7.920 eV per atom.

The structure belongs to space group R3m (No. 160, hexagonal axes); the cell edges are 5.3415, 5.3415 and 26.2031 Å and the angles 90.00°, 90.00° and 120.00°. The inequivalent atoms are Tb at (0.0000, 0.0000, 0.0000), Tb at (0.0000, 0.0000, 0.1258), Tb at (0.0000, 0.0000, 0.6244), Pu at (0.0000, 0.0000, 0.5001), Rh at (0.0000, 0.0000, 0.3125), Rh at (0.0000, 0.0000, 0.8125), Rh at (0.9996, 0.4998, 0.5624) and Rh at (0.0008, 0.5004, 0.0626).

[2]
The following is a DFT calculation (PBE) of TbPu2Rh9 after structural relaxation.

The formation energy is -0.426 eV/atom. Its density of states at the Fermi level is 77.25 states/eV/cell. Its total energy is -8.714 eV per atom.

The structure belongs to space group R-3m (No. 166, hexagonal axes); the cell edges are 5.2524, 5.2524 and 26.3267 Å and the angles 90.00°, 90.00° and 120.00°. The inequivalent atoms are Tb at (0.0000, 0.0000, 0.0000), Pu at (0.0000, 0.0000, 0.1400), Rh at (0.0000, 0.0000, 0.3333), Rh at (0.0000, 0.0000, 0.5000) and Rh at (0.0027, 0.5014, 0.9167).

[3]
The following is a DFT calculation (PBE) of Tb2Pu2Rh15 after structural relaxation.

The formation energy is -0.272 eV/atom. Its density of states at the Fermi level is 114.63 states/eV/cell. Its total energy is -8.072 eV per atom.

The structure belongs to space group R-3m (No. 166, hexagonal axes); the cell edges are 9.1368, 9.1368 and 13.4515 Å and the angles 90.00°, 90.00° and 120.00°. The inequivalent atoms are Tb at (0.0000, 0.0000, 0.1102), Pu at (0.0000, 0.0000, 0.3614), Rh at (0.0000, 0.3119, 0.0000), Rh at (0.0000, 0.5000, 0.5000) and Rh at (0.0113, 0.5056, 0.1551).

[4]
The following is a DFT calculation (PBE) of TbPu2Rh3 after structural relaxation.

The formation energy is -0.545 eV/atom. Its density of states at the Fermi level is 17.01 states/eV/cell. Its total energy is -9.769 eV per atom.

The structure belongs to space group P-3m1 (No. 164); the cell edges are 4.8395, 4.8395 and 5.9705 Å and the angles 90.00°, 90.00° and 120.00°. The inequivalent atoms are Tb at (0.0000, 0.0000, 0.0000), Pu at (0.3333, 0.6667, 0.6697), Rh at (0.0000, 0.0000, 0.5000) and Rh at (0.3333, 0.6667, 0.1711).

> Which of these has the lowest formation energy?

Tb3PuRh8

> formation energy of number 1 (Tb3PuRh8)?

-0.668 eV/atom